Entry 1:
! YMn2Ir GGA-PBE optimized geometry; values from VASP
&SYSTEM
  ibrav = 0, nat = 4, ntyp = 3
/
ATOMIC_SPECIES
Y 88.91 Y.upf
Ir 192.22 Ir.upf
Mn 54.94 Mn.upf
ATOMIC_POSITIONS angstrom
Y -2.816 0.344 1.730
Ir -1.332 -2.077 1.536
Mn -0.239 -0.149 0.032
Mn -3.785 -2.362 0.499
CELL_PARAMETERS angstrom
-5.508 -0.091 0.724
-2.539 -4.931 0.337
3.899 3.289 2.204
! - Total moment: 7.87 μB/f.u.
! - Calculated volume: 73.2 Å³ per cell
! - Fermi-level density of states: 1.01 states/eV/atom
! - VASP energy: -8.42 eV/atom

***

Entry 2:
! Y2MnIr2 GGA-PBE optimized geometry; values from VASP
&SYSTEM
  ibrav = 0, nat = 10, ntyp = 3
/
ATOMIC_SPECIES
Mn 54.94 Mn.upf
Y 88.91 Y.upf
Ir 192.22 Ir.upf
ATOMIC_POSITIONS angstrom
Mn 0.000 0.000 0.000
Mn 3.463 3.463 0.000
Y 4.680 5.709 2.132
Y 2.246 1.217 2.132
Y 1.217 4.680 2.132
Y 5.709 2.246 2.132
Ir 2.531 5.994 0.000
Ir 5.994 4.395 0.000
Ir 0.932 2.531 0.000
Ir 4.395 0.932 0.000
CELL_PARAMETERS angstrom
6.926 0.000 0.000
0.000 6.926 0.000
0.000 0.000 4.265
! - Total moment: 3.61 μB/f.u.
! - Calculated volume: 204.6 Å³ per cell
! - Fermi-level density of states: 0.52 states/eV/atom
! - VASP energy: -8.48 eV/atom

***

Entry 3:
! YMn2Ir GGA-PBE optimized geometry; values from VASP
&SYSTEM
  ibrav = 0, nat = 4, ntyp = 3
/
ATOMIC_SPECIES
Ir 192.22 Ir.upf
Y 88.91 Y.upf
Mn 54.94 Mn.upf
ATOMIC_POSITIONS angstrom
Ir 1.583 3.501 5.046
Y 0.000 1.658 3.378
Mn 1.583 2.960 0.842
Mn 0.000 1.214 -0.064
CELL_PARAMETERS angstrom
3.165 0.000 0.000
0.000 3.210 -0.399
0.000 0.872 6.800
! - Total moment: 0.30 μB/f.u.
! - Calculated volume: 70.2 Å³ per cell
! - Fermi-level density of states: 0.81 states/eV/atom
! - VASP energy: -8.49 eV/atom

***

Entry 4:
! YMn2Ir GGA-PBE optimized geometry; values from VASP
&SYSTEM
  ibrav = 0, nat = 4, ntyp = 3
/
ATOMIC_SPECIES
Y 88.91 Y.upf
Ir 192.22 Ir.upf
Mn 54.94 Mn.upf
ATOMIC_POSITIONS angstrom
Y 2.965 0.393 -1.612
Ir 0.853 -1.240 -2.365
Mn 0.494 -2.997 -0.210
Mn 0.000 0.000 0.000
CELL_PARAMETERS angstrom
-1.618 -4.630 -0.963
3.324 2.150 -3.767
2.607 -1.364 0.543
! - Total moment: 7.14 μB/f.u.
! - Calculated volume: 70.0 Å³ per cell
! - Fermi-level density of states: 1.17 states/eV/atom
! - VASP energy: -8.20 eV/atom

***

Entry 5:
! Y3MnIr GGA-PBE optimized geometry; values from VASP
&SYSTEM
  ibrav = 0, nat = 5, ntyp = 3
/
ATOMIC_SPECIES
Y 88.91 Y.upf
Mn 54.94 Mn.upf
Ir 192.22 Ir.upf
ATOMIC_POSITIONS angstrom
Y -1.283 -2.282 -0.606
Y -1.608 0.340 2.126
Y 1.728 -1.378 1.528
Mn -1.163 -3.320 3.047
Ir 0.000 0.000 0.000
CELL_PARAMETERS angstrom
-2.567 -4.563 -1.212
3.457 -2.756 3.055
-3.216 0.680 4.252
! - Total moment: 4.18 μB/f.u.
! - Calculated volume: 155.2 Å³ per cell
! - Fermi-level density of states: 1.08 states/eV/atom
! - VASP energy: -7.44 eV/atom

***

Entry 6:
! YMn2Ir GGA-PBE optimized geometry; values from VASP
&SYSTEM
  ibrav = 0, nat = 4, ntyp = 3
/
ATOMIC_SPECIES
Ir 192.22 Ir.upf
Mn 54.94 Mn.upf
Y 88.91 Y.upf
ATOMIC_POSITIONS angstrom
Ir 1.264 1.908 1.546
Mn 0.245 0.148 0.000
Mn 2.880 -0.445 1.185
Y 3.652 2.208 0.000
CELL_PARAMETERS angstrom
5.265 -0.148 -0.360
2.315 4.730 0.360
-3.329 -3.054 2.731
! - Total moment: 7.66 μB/f.u.
! - Calculated volume: 71.8 Å³ per cell
! - Fermi-level density of states: 0.87 states/eV/atom
! - VASP energy: -8.37 eV/atom

***

Entry 7:
! Y2Mn2Ir GGA-PBE optimized geometry; values from VASP
&SYSTEM
  ibrav = 0, nat = 10, ntyp = 3
/
ATOMIC_SPECIES
Y 88.91 Y.upf
Ir 192.22 Ir.upf
Mn 54.94 Mn.upf
ATOMIC_POSITIONS angstrom
Y 1.194 4.414 2.236
Y 4.414 5.246 2.236
Y 5.246 2.026 2.236
Y 2.026 1.194 2.236
Ir 0.000 0.000 0.000
Ir 3.220 3.220 0.000
Mn 0.721 2.498 0.000
Mn 3.941 0.721 0.000
Mn 5.718 3.941 0.000
Mn 2.498 5.718 0.000
CELL_PARAMETERS angstrom
6.440 0.000 0.000
0.000 6.440 0.000
0.000 0.000 4.471
! - Total moment: 1.53 μB/f.u.
! - Calculated volume: 185.4 Å³ per cell
! - Fermi-level density of states: 0.91 states/eV/atom
! - VASP energy: -8.11 eV/atom

***

Entry 8:
! YMnIr GGA-PBE optimized geometry; values from VASP
&SYSTEM
  ibrav = 0, nat = 3, ntyp = 3
/
ATOMIC_SPECIES
Mn 54.94 Mn.upf
Y 88.91 Y.upf
Ir 192.22 Ir.upf
ATOMIC_POSITIONS angstrom
Mn -4.448 -3.020 1.534
Y -6.672 -4.531 2.302
Ir 0.000 0.000 0.000
CELL_PARAMETERS angstrom
-2.537 -3.664 -0.987
-1.847 -2.471 3.365
-4.512 0.095 0.690
! - Total moment: 4.14 μB/f.u.
! - Calculated volume: 67.3 Å³ per cell
! - Fermi-level density of states: 0.79 states/eV/atom
! - VASP energy: -7.60 eV/atom